Entry 1:
The following is a DFT calculation (PBE-GGA) of an optimized crystal structure of ZnCdSiIr.

Unit cell a=2.9386 b=2.9386 c=15.8696 alpha=90.00 beta=90.00 gamma=90.00
Atoms (fractional coordinates):
Si: 0.0000 0.0000 0.2365
Ir: 0.0000 0.0000 0.6559
Cd: 0.0000 0.0000 0.0182
Ir: 0.5000 0.5000 0.1559
Zn: 0.0000 0.0000 0.3880
Zn: 0.5000 0.5000 0.8880
Cd: 0.5000 0.5000 0.5182
Si: 0.5000 0.5000 0.7365

Properties
magnetic moment	0.00	μB per cell
energy above the lowest structure with this stoichiometry	3.77	kJ/mol of atoms


Entry 2:
The following is a DFT calculation (PBE-GGA) of an optimized crystal structure of CaPrGaPd.

Unit cell a=5.1619 b=5.1619 c=5.1619 alpha=60.00 beta=60.00 gamma=60.00
Atoms (fractional coordinates):
Pd: 0.7500 0.7500 0.7500
Ga: 0.2500 0.2500 0.2500
Pr: 0.5000 0.5000 0.5000
Ca: 0.0000 0.0000 0.0000

Properties
magnetic moment	0.00	μB per cell
energy relative to the elements	-578	meV/atom
energy above the lowest structure with this stoichiometry	3.22	kJ/mol of atoms


Entry 3:
The following is a DFT calculation (PBE-GGA) of an optimized crystal structure of EuPuIn.

Unit cell a=3.2707 b=5.4404 c=5.4404 alpha=120.00 beta=90.00 gamma=90.00
Site moments in Bohr magnetons follow the coordinates.
Atoms (fractional coordinates):
In: 0.0052 0.0000 0.0000  -0.11
Eu: 0.6290 0.3333 0.6667  6.96
Pu: 0.3658 0.6667 0.3333  5.66

Properties
magnetic moment	13.06	μB per cell
energy relative to the elements	-42	meV/atom


Entry 4:
The following is a DFT calculation (PBE-GGA) of an optimized crystal structure of Ho2PaGe3Pt4.

Unit cell a=4.2770 b=4.2770 c=11.1829 alpha=90.00 beta=90.00 gamma=90.00
Atoms (fractional coordinates):
Ge: 0.5000 0.0000 0.8747
Pt: 0.0000 0.5000 0.3430
Ge: 0.0000 0.0000 0.5000
Pt: 0.5000 0.5000 0.0000
Pa: 0.5000 0.5000 0.5000
Ge: 0.0000 0.5000 0.1253
Ho: 0.5000 0.0000 0.2127
Pt: 0.5000 0.0000 0.6570
Pt: 0.0000 0.0000 0.0000
Ho: 0.0000 0.5000 0.7873

Properties
magnetic moment	0.00	μB per cell
energy relative to the elements	-840	meV/atom


Entry 5:
The following is a DFT calculation (PBE-GGA) of an optimized crystal structure of TmSc4Al2.

Unit cell a=4.9761 b=4.9761 c=7.8405 alpha=71.50 beta=71.50 gamma=60.00
Atoms (fractional coordinates):
Sc: 0.1534 0.1534 0.5399
Al: 0.7177 0.7177 0.8468
Al: 0.2823 0.2823 0.1532
Tm: 0.0000 0.0000 0.0000
Sc: 0.5767 0.5767 0.2700
Sc: 0.4233 0.4233 0.7300
Sc: 0.8466 0.8466 0.4601

Properties
magnetic moment	0.00	μB per cell
energy relative to the elements	-260	meV/atom
energy above the lowest structure with this stoichiometry	0.00	kJ/mol of atoms


Entry 6:
The following is a DFT calculation (PBE-GGA) of an optimized crystal structure of LaSc5.

Unit cell a=6.0927 b=6.0927 c=5.3307 alpha=90.00 beta=90.00 gamma=120.00
Atoms (fractional coordinates):
Sc: 0.5000 0.0000 0.5000
Sc: 0.6667 0.3333 0.0000
Sc: 0.0000 0.5000 0.5000
Sc: 0.3333 0.6667 0.0000
Sc: 0.5000 0.5000 0.5000
La: 0.0000 0.0000 0.0000

Properties
magnetic moment	0.00	μB per cell
energy relative to the elements	259	meV/atom
energy above the lowest structure with this stoichiometry	20.63	kJ/mol of atoms


Entry 7:
The following is a DFT calculation (PBE-GGA) of an optimized crystal structure of Li2AsW.

Unit cell a=7.1474 b=7.1474 c=5.6149 alpha=50.47 beta=50.47 gamma=90.00
Atoms (fractional coordinates):
As: 0.2500 0.7500 0.5000
Li: 0.5950 0.1250 0.2500
W: 0.0000 0.0000 0.0000
As: 0.5000 0.5000 0.0000
Li: 0.1550 0.6250 0.2500
W: 0.7500 0.2500 0.5000
Li: 0.3750 0.4050 0.7500
Li: 0.8750 0.8450 0.7500

Properties
magnetic moment	0.00	μB per cell
energy relative to the elements	459	meV/atom


Entry 8:
The following is a DFT calculation (PBE-GGA) of an optimized crystal structure of AcPaSb.

Unit cell a=3.9582 b=5.3644 c=5.3644 alpha=120.00 beta=90.00 gamma=90.00
Site moments in Bohr magnetons follow the coordinates.
Atoms (fractional coordinates):
Sb: 0.1656 0.0000 0.0000  -0.01
Ac: 0.6670 0.3333 0.6667  0.12
Pa: 0.1673 0.6667 0.3333  1.14

Properties
magnetic moment	1.70	μB per cell
energy above the lowest structure with this stoichiometry	21.72	kJ/mol of atoms